{"formula": "CaHg2As", "functional": "PBE", "state": "relaxed", "lattice": [[3.9967, 0.0000, 0.0000], [0.0000, 3.9967, 0.0000], [0.0000, 0.0000, 6.1821]], "species": ["Ca", "Hg", "Hg", "As"], "fractional_positions": [[0.0000, 0.0000, 0.0000], [0.5000, 0.5000, 0.2646], [0.5000, 0.5000, 0.7354], [0.0000, 0.0000, 0.5000]], "formation_energy_ev_per_atom": -0.28, "final_energy_ev_per_cell": -8.37}